(1)
# LiRhBr4 (PBE, optimized geometry)
# Crystal system: cubic
# Mass density (g cm⁻³): 4.00
# Energy relative to the elements, uncorrected (kJ per mole of atoms): 63.8
data_LiRhBr4
_chemical_formula_sum 'Li4 Rh4 Br16'
_symmetry_space_group_name_H-M 'F -4 3 m'
_symmetry_Int_Tables_number 216
_symmetry_space_group_name_Hall 'F -4 2 3'
_cell_length_a 8.9351
_cell_length_b 8.9351
_cell_length_c 8.9351
_cell_angle_alpha 90.00
_cell_angle_beta 90.00
_cell_angle_gamma 90.00
loop_
_atom_site_label
_atom_site_type_symbol
_atom_site_fract_x
_atom_site_fract_y
_atom_site_fract_z
Li1 Li 0.0000 0.0000 0.0000
Rh1 Rh 0.2500 0.2500 0.7500
Br1 Br 0.1247 0.1247 0.3753

=====

(2)
# LiRhBr2 (PBE, optimized geometry)
# Crystal system: monoclinic
# Mass density (g cm⁻³): 4.84
# Polymorph energy (0 for the lowest one) (eV/atom): 0.211
# Energy relative to the elements, uncorrected (kJ per mole of atoms): -34.6
data_LiRhBr2
_chemical_formula_sum 'Li2 Rh2 Br4'
_symmetry_space_group_name_H-M 'C 1 2/m 1'
_symmetry_Int_Tables_number 12
_symmetry_space_group_name_Hall '-C 2y'
_cell_length_a 7.3018
_cell_length_b 7.2515
_cell_length_c 3.8304
_cell_angle_alpha 90.00
_cell_angle_beta 114.07
_cell_angle_gamma 90.00
loop_
_atom_site_label
_atom_site_type_symbol
_atom_site_fract_x
_atom_site_fract_y
_atom_site_fract_z
Li1 Li 0.0000 0.0000 0.0000
Rh1 Rh 0.0000 0.5000 0.0000
Br1 Br 0.2500 0.2500 0.0000

=====

(3)
# LiRhBr3 (PBE, optimized geometry)
# Crystal system: cubic
# Mass density (g cm⁻³): 4.34
# Polymorph energy (0 for the lowest one) (eV/atom): 0.000
# Energy relative to the elements, uncorrected (kJ per mole of atoms): -42.3
data_LiRhBr3
_chemical_formula_sum 'Li1 Rh1 Br3'
_symmetry_space_group_name_H-M 'P m -3 m'
_symmetry_Int_Tables_number 221
_symmetry_space_group_name_Hall '-P 4 2 3'
_cell_length_a 5.1125
_cell_length_b 5.1125
_cell_length_c 5.1125
_cell_angle_alpha 90.00
_cell_angle_beta 90.00
_cell_angle_gamma 90.00
loop_
_atom_site_label
_atom_site_type_symbol
_atom_site_fract_x
_atom_site_fract_y
_atom_site_fract_z
Li1 Li 0.0000 0.0000 0.0000
Rh1 Rh 0.5000 0.5000 0.5000
Br1 Br 0.0000 0.5000 0.5000

=====

(4)
# LiSc2RhBr (PBE, optimized geometry)
# Crystal system: tetragonal
# Mass density (g cm⁻³): 3.42
# Energy relative to the elements, uncorrected (kJ per mole of atoms): -5.9
data_LiSc2RhBr
_chemical_formula_sum 'Li1 Sc2 Rh1 Br1'
_symmetry_space_group_name_H-M 'P 4/m m m'
_symmetry_Int_Tables_number 123
_symmetry_space_group_name_Hall '-P 4 2'
_cell_length_a 4.9043
_cell_length_b 4.9043
_cell_length_c 5.6452
_cell_angle_alpha 90.00
_cell_angle_beta 90.00
_cell_angle_gamma 90.00
loop_
_atom_site_label
_atom_site_type_symbol
_atom_site_fract_x
_atom_site_fract_y
_atom_site_fract_z
Li1 Li 0.0000 0.0000 0.0000
Sc1 Sc 0.0000 0.5000 0.5000
Rh1 Rh 0.5000 0.5000 0.5000
Br1 Br 0.5000 0.5000 0.0000

=====

(5)
# LiRhSeBr2 (PBE, optimized geometry)
# Crystal system: tetragonal
# Mass density (g cm⁻³): 4.33
# Polymorph energy (0 for the lowest one) (eV/atom): 0.000
# Energy relative to the elements, uncorrected (kJ per mole of atoms): -31.1
data_LiRhSeBr2
_chemical_formula_sum 'Li1 Rh1 Se1 Br2'
_symmetry_space_group_name_H-M 'P 4/m m m'
_symmetry_Int_Tables_number 123
_symmetry_space_group_name_Hall '-P 4 2'
_cell_length_a 5.3441
_cell_length_b 5.3441
_cell_length_c 4.6768
_cell_angle_alpha 90.00
_cell_angle_beta 90.00
_cell_angle_gamma 90.00
loop_
_atom_site_label
_atom_site_type_symbol
_atom_site_fract_x
_atom_site_fract_y
_atom_site_fract_z
Li1 Li 0.0000 0.0000 0.0000
Rh1 Rh 0.5000 0.5000 0.5000
Se1 Se 0.5000 0.5000 0.0000
Br1 Br 0.0000 0.5000 0.5000

=====

(6)
# SrLiRh2Br (PBE, optimized geometry)
# Crystal system: tetragonal
# Mass density (g cm⁻³): 5.89
# Energy relative to the elements, uncorrected (kJ per mole of atoms): 2.3
data_SrLiRh2Br
_chemical_formula_sum 'Sr1 Li1 Rh2 Br1'
_symmetry_space_group_name_H-M 'P 4/m m m'
_symmetry_Int_Tables_number 123
_symmetry_space_group_name_Hall '-P 4 2'
_cell_length_a 4.8656
_cell_length_b 4.8656
_cell_length_c 4.5300
_cell_angle_alpha 90.00
_cell_angle_beta 90.00
_cell_angle_gamma 90.00
loop_
_atom_site_label
_atom_site_type_symbol
_atom_site_fract_x
_atom_site_fract_y
_atom_site_fract_z
Sr1 Sr 0.0000 0.0000 0.0000
Li1 Li 0.5000 0.5000 0.0000
Rh1 Rh 0.0000 0.5000 0.5000
Br1 Br 0.5000 0.5000 0.5000

=====

(7)
# LiTa2RhBr (PBE, optimized geometry)
# Crystal system: tetragonal
# Mass density (g cm⁻³): 8.00
# Energy relative to the elements, uncorrected (kJ per mole of atoms): 85.0
data_LiTa2RhBr
_chemical_formula_sum 'Li1 Ta2 Rh1 Br1'
_symmetry_space_group_name_H-M 'P 4/m m m'
_symmetry_Int_Tables_number 123
_symmetry_space_group_name_Hall '-P 4 2'
_cell_length_a 4.8027
_cell_length_b 4.8027
_cell_length_c 4.9612
_cell_angle_alpha 90.00
_cell_angle_beta 90.00
_cell_angle_gamma 90.00
loop_
_atom_site_label
_atom_site_type_symbol
_atom_site_fract_x
_atom_site_fract_y
_atom_site_fract_z
Li1 Li 0.0000 0.0000 0.0000
Ta1 Ta 0.0000 0.5000 0.5000
Rh1 Rh 0.0000 0.0000 0.5000
Br1 Br 0.5000 0.5000 0.0000

=====

(8)
# LiTe2RhBr (PBE, optimized geometry)
# Crystal system: tetragonal
# Mass density (g cm⁻³): 6.33
# Polymorph energy (0 for the lowest one) (eV/atom): 0.000
# Energy relative to the elements, uncorrected (kJ per mole of atoms): 57.3
data_LiTe2RhBr
_chemical_formula_sum 'Li1 Te2 Rh1 Br1'
_symmetry_space_group_name_H-M 'P 4/m m m'
_symmetry_Int_Tables_number 123
_symmetry_space_group_name_Hall '-P 4 2'
_cell_length_a 5.0543
_cell_length_b 5.0543
_cell_length_c 4.5724
_cell_angle_alpha 90.00
_cell_angle_beta 90.00
_cell_angle_gamma 90.00
loop_
_atom_site_label
_atom_site_type_symbol
_atom_site_fract_x
_atom_site_fract_y
_atom_site_fract_z
Li1 Li 0.0000 0.0000 0.0000
Te1 Te 0.0000 0.5000 0.0000
Rh1 Rh 0.0000 0.0000 0.5000
Br1 Br 0.5000 0.5000 0.5000

=====

| no. | DOS(E_F) (states/eV/cell) |
| --- | --- |
| 1 | 25.72 |
| 2 | 7.44 |
| 3 | 2.03 |
| 4 | 2.90 |
| 5 | 3.88 |
| 6 | 2.77 |
| 7 | 4.85 |
| 8 | 7.81 |